Record 1
This record from the Alexandria database describes a relaxed NiTe6Mo2 crystal. The functional is PBE.

Results
formation energy (no corrections) = 0.056 eV/atom

Lattice parameters (Å, degrees): 6.8123 6.6643 9.5355 90.00 97.85 90.00
Fractional positions:
Ni1 0.5000 0.5000 0.0000
Ni2 0.0000 0.0000 0.5000
Te1 0.8424 0.0174 0.2396
Te2 0.8242 0.6613 0.5937
Te3 0.8198 0.6537 0.9308
Te4 0.6802 0.1537 0.5692
Te5 0.6758 0.1613 0.9063
Te6 0.6576 0.5174 0.2604
Te7 0.1576 0.9826 0.7604
Te8 0.1758 0.3387 0.4063
Te9 0.1802 0.3463 0.0692
Te10 0.3198 0.8463 0.4308
Te11 0.3242 0.8387 0.0937
Te12 0.3424 0.4826 0.7396
Mo1 0.9628 0.3431 0.7675
Mo2 0.5372 0.8431 0.7325
Mo3 0.4628 0.1569 0.2675
Mo4 0.0372 0.6569 0.2325


Record 2
This record from the Alexandria database describes a relaxed CsUTe3 crystal. The functional is PBE.

Results
energy relative to the lowest polymorph listed for this composition = 50 meV per atom
formation energy (no corrections) = -0.736 eV/atom

Lattice parameters (Å, degrees): 7.9661 9.2191 7.9662 115.59 120.00 90.00
Fractional positions:
Cs1 0.3846 0.6533 0.7693
Cs2 0.6154 0.3467 0.2307
U1 0.8333 0.9999 0.6667
U2 0.1667 0.0001 0.3333
Te1 0.9202 0.7587 0.3386
Te2 0.0798 0.2413 0.1596
Te3 0.4184 0.7587 0.3386
Te4 0.5816 0.2413 0.6614
Te5 0.0798 0.2413 0.6614
Te6 0.9202 0.7587 0.8404


Record 3
This record from the Alexandria database describes a relaxed VMo4W crystal. The functional is PBE.

Results
energy relative to the lowest polymorph listed for this composition = 0 meV per atom
E_form = -94 meV per atom

Lattice parameters (Å, degrees): 4.4520 5.2076 4.4422 90.01 90.00 115.31
Fractional positions:
V1 0.0000 0.5000 0.5000
Mo1 0.6666 0.8333 0.5000
Mo2 0.3334 0.1667 0.5000
Mo3 0.8343 0.1687 0.0000
Mo4 0.1657 0.8313 0.0000
W1 0.5000 0.5000 0.0000


What did the first record say?
This record from the Alexandria database describes a relaxed NiTe6Mo2 crystal. The functional is PBE.

Results
formation energy (no corrections) = 0.056 eV/atom

Lattice parameters (Å, degrees): 6.8123 6.6643 9.5355 90.00 97.85 90.00
Fractional positions:
Ni1 0.5000 0.5000 0.0000
Ni2 0.0000 0.0000 0.5000
Te1 0.8424 0.0174 0.2396
Te2 0.8242 0.6613 0.5937
Te3 0.8198 0.6537 0.9308
Te4 0.6802 0.1537 0.5692
Te5 0.6758 0.1613 0.9063
Te6 0.6576 0.5174 0.2604
Te7 0.1576 0.9826 0.7604
Te8 0.1758 0.3387 0.4063
Te9 0.1802 0.3463 0.0692
Te10 0.3198 0.8463 0.4308
Te11 0.3242 0.8387 0.0937
Te12 0.3424 0.4826 0.7396
Mo1 0.9628 0.3431 0.7675
Mo2 0.5372 0.8431 0.7325
Mo3 0.4628 0.1569 0.2675
Mo4 0.0372 0.6569 0.2325